Model A:
Crystalline PmPrPuIn at its relaxed geometry, computed with GGA-PBE.

Cell and atoms, written as CIF:
```
data_PmPrPuIn
_symmetry_space_group_name_H-M 'F -4 3 m'
_symmetry_Int_Tables_number 216
_symmetry_space_group_name_Hall 'F -4 2 3'
_cell_length_a 7.8427
_cell_length_b 7.8427
_cell_length_c 7.8427
_cell_angle_alpha 90.00
_cell_angle_beta 90.00
_cell_angle_gamma 90.00
loop_
_atom_site_label
_atom_site_fract_x
_atom_site_fract_y
_atom_site_fract_z
Pm1 0.0000 0.0000 0.0000
Pr1 0.2500 0.2500 0.7500
Pu1 0.2500 0.2500 0.2500
In1 0.0000 0.0000 0.5000
```

Crystal system   cubic
Volume   30.15 Å³/atom

***

Model B:
Crystalline PmPrPuIn at its relaxed geometry, computed with GGA-PBE.

Cell and atoms, written as CIF:
```
data_PmPrPuIn
_symmetry_space_group_name_H-M 'F -4 3 m'
_symmetry_Int_Tables_number 216
_symmetry_space_group_name_Hall 'F -4 2 3'
_cell_length_a 7.8236
_cell_length_b 7.8236
_cell_length_c 7.8236
_cell_angle_alpha 90.00
_cell_angle_beta 90.00
_cell_angle_gamma 90.00
loop_
_atom_site_label
_atom_site_fract_x
_atom_site_fract_y
_atom_site_fract_z
Pm1 0.0000 0.0000 0.0000
Pr1 0.0000 0.0000 0.5000
Pu1 0.2500 0.2500 0.2500
In1 0.2500 0.2500 0.7500
```

Crystal system   cubic
Volume   29.93 Å³/atom

***

Among the structures shown above, model B is the most stable, with the second-best lying 7.6 kJ/mol of atoms higher.